# 1
{"formula": "Ba2RhSe", "functional": "PBE", "state": "optimized geometry", "formation_energy_uncorrected_ev_per_atom": -0.779, "final_energy_ev_per_atom": -4.450, "cell": [[4.5745, 0.0000, 0.0000], [0.0000, 4.5745, 0.0000], [0.0000, 0.0000, 6.4501]], "species": ["Ba", "Ba", "Rh", "Se"], "frac_coords": [[0.0000, 0.0000, 0.0000], [0.5000, 0.5000, 0.5000], [0.0000, 0.0000, 0.5000], [0.5000, 0.5000, 0.0000]]}

***

# 2
{"formula": "SrRu2Rh", "functional": "PBE", "state": "optimized geometry", "relative_energy_ev_per_atom": 0.455, "final_energy_ev_per_atom": -6.066, "delta_e_f_ev_per_atom": 0.830, "cell": [[4.9159, 0.0000, 0.0000], [0.0000, 4.9159, 0.0000], [0.0000, 0.0000, 2.9173]], "species": ["Sr", "Ru", "Ru", "Rh"], "frac_coords": [[0.0000, 0.0000, 0.0000], [0.0000, 0.5000, 0.5000], [0.5000, 0.0000, 0.5000], [0.5000, 0.5000, 0.0000]]}